Entry 1:
This record from Alexandria via LeMat-Bulk describes crystalline Dy7Cd2Au2 at its relaxed geometry. The functional is PBE-GGA.

a = 8.0434 Å, b = 11.1064 Å, c = 7.3195 Å
α = 90.00°, β = 90.00°, γ = 90.00°
Space group Cmmm (No. 65)
Inequivalent atoms, fractional coordinates:
Dy 0.0000 0.0000 0.0000 [2 per cell]
Dy 0.0000 0.5000 0.2555 [4 per cell]
Dy 0.2500 0.2500 0.2667 [8 per cell]
Cd 0.1733 0.0000 0.5000 [4 per cell]
Au 0.0000 0.2939 0.0000 [4 per cell]

Calculated values
- crystal system = orthorhombic
- formation energy (eV per atom) = -0.23
- theoretical density (Mg/m³) = 8.92

---

Entry 2:
This record from Alexandria via LeMat-Bulk describes crystalline DyCdAu at its relaxed geometry. The functional is PBE-GGA.

a = 3.7757 Å, b = 3.7757 Å, c = 9.5669 Å
α = 90.00°, β = 90.00°, γ = 90.00°
Space group I4mm (No. 107)
Inequivalent atoms, fractional coordinates:
Dy 0.0000 0.0000 0.0000 [2 per cell]
Cd 0.0000 0.0000 0.6801 [2 per cell]
Au 0.0000 0.0000 0.3392 [2 per cell]

Calculated values
- crystal system = tetragonal
- formation energy (eV per atom) = -0.54
- theoretical density (Mg/m³) = 11.49

---

Entry 3:
This record from Alexandria via LeMat-Bulk describes crystalline DyCd4Au2 at its relaxed geometry. The functional is PBE-GGA.

a = 8.5722 Å, b = 8.5722 Å, c = 4.3464 Å
α = 90.00°, β = 90.00°, γ = 90.00°
Space group P4_2/mnm (No. 136)
Inequivalent atoms, fractional coordinates:
Dy 0.0000 0.0000 0.0000 [2 per cell]
Cd 0.1063 0.3508 0.5000 [8 per cell]
Au 0.1675 0.8325 0.5000 [4 per cell]

Calculated values
- crystal system = tetragonal
- formation energy (eV per atom) = -0.33
- theoretical density (Mg/m³) = 10.46

---

Entry 4:
This record from Alexandria via LeMat-Bulk describes crystalline DyCd2Au2 at its relaxed geometry. The functional is PBE-GGA.

a = 4.8750 Å, b = 3.4618 Å, c = 13.0559 Å
α = 90.00°, β = 90.58°, γ = 90.00°
Space group P2_1/m (No. 11)
Inequivalent atoms, fractional coordinates:
Dy 0.2436 0.2500 0.2513 [2 per cell]
Cd 0.2494 0.7500 0.4708 [2 per cell]
Cd 0.2610 0.2500 0.8638 [2 per cell]
Au 0.2380 0.7500 0.0475 [2 per cell]
Au 0.2536 0.2500 0.6534 [2 per cell]

Calculated values
- crystal system = monoclinic
- formation energy (eV per atom) = -0.40
- theoretical density (Mg/m³) = 11.78

---

Entry 5:
This record from Alexandria via LeMat-Bulk describes crystalline Dy2Cd3Au at its relaxed geometry. The functional is PBE-GGA.

a = 3.4178 Å, b = 4.9086 Å, c = 8.4715 Å
α = 90.00°, β = 90.00°, γ = 90.00°
Space group Pmm2 (No. 25)
Inequivalent atoms, fractional coordinates:
Dy 0.0000 0.0000 0.0000 [1 per cell]
Dy 0.0000 0.5000 0.4587 [1 per cell]
Cd 0.5000 0.0000 0.6451 [1 per cell]
Cd 0.5000 0.5000 0.1407 [1 per cell]
Cd 0.5000 0.5000 0.8066 [1 per cell]
Au 0.5000 0.0000 0.3118 [1 per cell]

Calculated values
- crystal system = orthorhombic
- formation energy (eV per atom) = -0.44
- theoretical density (Mg/m³) = 10.04

---

Entry 6:
This record from Alexandria via LeMat-Bulk describes crystalline Dy4Cd5Au2 at its relaxed geometry. The functional is PBE-GGA.

a = 7.7225 Å, b = 3.5457 Å, c = 9.9786 Å
α = 90.00°, β = 94.19°, γ = 90.00°
Space group P2/m (No. 10)
Inequivalent atoms, fractional coordinates:
Dy 0.1663 0.0000 0.3685 [2 per cell]
Dy 0.2439 0.0000 0.9457 [2 per cell]
Cd 0.1906 0.5000 0.6537 [2 per cell]
Cd 0.4517 0.5000 0.1938 [2 per cell]
Cd 0.5000 0.5000 0.5000 [1 per cell]
Au 0.0659 0.5000 0.1395 [2 per cell]

Calculated values
- crystal system = monoclinic
- formation energy (eV per atom) = -0.46
- theoretical density (Mg/m³) = 9.79

---

Entry 7:
This record from Alexandria via LeMat-Bulk describes crystalline DyCd2Au3 at its relaxed geometry. The functional is PBE-GGA.

a = 4.8458 Å, b = 4.8458 Å, c = 12.2777 Å
α = 90.00°, β = 90.00°, γ = 120.00°
Space group P-3m1 (No. 164)
Inequivalent atoms, fractional coordinates:
Dy 0.3333 0.6667 0.1705 [2 per cell]
Cd 0.0000 0.0000 0.0000 [1 per cell]
Cd 0.0000 0.0000 0.5000 [1 per cell]
Cd 0.3333 0.6667 0.6656 [2 per cell]
Au 0.0000 0.0000 0.2631 [2 per cell]
Au 0.3333 0.6667 0.4179 [2 per cell]
Au 0.3333 0.6667 0.9238 [2 per cell]

Calculated values
- crystal system = trigonal
- formation energy (eV per atom) = -0.50
- theoretical density (Mg/m³) = 13.01

---

Entry 8:
This record from Alexandria via LeMat-Bulk describes crystalline Dy2Cd2Au3 at its relaxed geometry. The functional is PBE-GGA.

a = 8.7140 Å, b = 5.0316 Å, c = 7.9001 Å
α = 90.00°, β = 111.44°, γ = 90.00°
Space group C2/m (No. 12)
Inequivalent atoms, fractional coordinates:
Dy 0.1103 0.0000 0.3305 [4 per cell]
Cd 0.1307 0.5000 0.8937 [4 per cell]
Au 0.0000 0.5000 0.5000 [2 per cell]
Au 0.2431 0.0000 0.7304 [4 per cell]

Calculated values
- crystal system = monoclinic
- formation energy (eV per atom) = -0.60
- theoretical density (Mg/m³) = 11.75

---

Entry 9:
This record from Alexandria via LeMat-Bulk describes crystalline Dy6Cd2Au at its relaxed geometry. The functional is PBE-GGA.

a = 6.2094 Å, b = 9.1811 Å, c = 10.3453 Å
α = 90.00°, β = 119.09°, γ = 90.00°
Space group P2_1/c (No. 14)
Inequivalent atoms, fractional coordinates:
Dy 0.0558 0.1768 0.4590 [4 per cell]
Dy 0.3558 0.6792 0.4450 [4 per cell]
Dy 0.4077 0.0323 0.2986 [4 per cell]
Cd 0.1438 0.1106 0.7609 [4 per cell]
Au 0.0000 0.0000 0.0000 [2 per cell]

Calculated values
- crystal system = monoclinic
- formation energy (eV per atom) = -0.20
- theoretical density (Mg/m³) = 9.00

---

Entry 10:
This record from Alexandria via LeMat-Bulk describes crystalline Dy3CdAu at its relaxed geometry. The functional is PBE-GGA.

a = 11.4444 Å, b = 7.1879 Å, c = 14.3854 Å
α = 90.00°, β = 106.32°, γ = 90.00°
Space group C2/c (No. 15)
Inequivalent atoms, fractional coordinates:
Dy 0.0264 0.2341 0.0538 [8 per cell]
Dy 0.1578 0.0439 0.8247 [8 per cell]
Dy 0.2325 0.4134 0.3900 [8 per cell]
Cd 0.0720 0.3575 0.6682 [8 per cell]
Au 0.0000 0.2880 0.2500 [4 per cell]
Au 0.2500 0.2500 0.0000 [4 per cell]

Calculated values
- crystal system = monoclinic
- formation energy (eV per atom) = -0.31
- theoretical density (Mg/m³) = 9.32

---

Entry 11:
This record from Alexandria via LeMat-Bulk describes crystalline Dy3CdAu at its relaxed geometry. The functional is PBE-GGA.

a = 5.1766 Å, b = 19.6066 Å, c = 5.1641 Å
α = 90.00°, β = 90.00°, γ = 90.00°
Space group Cmcm (No. 63)
Inequivalent atoms, fractional coordinates:
Dy 0.0000 0.0612 0.2500 [4 per cell]
Dy 0.0000 0.2489 0.2500 [4 per cell]
Dy 0.0000 0.4348 0.2500 [4 per cell]
Cd 0.0000 0.1537 0.7500 [4 per cell]
Au 0.0000 0.3374 0.7500 [4 per cell]

Calculated values
- crystal system = orthorhombic
- formation energy (eV per atom) = -0.43
- theoretical density (Mg/m³) = 10.10

---

Entry 12:
This record from Alexandria via LeMat-Bulk describes crystalline DyCd2Au at its relaxed geometry. The functional is PBE-GGA.

a = 7.0140 Å, b = 7.0140 Å, c = 7.0140 Å
α = 90.00°, β = 90.00°, γ = 90.00°
Space group Fm-3m (No. 225)
Inequivalent atoms, fractional coordinates:
Dy 0.0000 0.0000 0.0000 [4 per cell]
Cd 0.2500 0.2500 0.2500 [8 per cell]
Au 0.0000 0.0000 0.5000 [4 per cell]

Calculated values
- crystal system = cubic
- formation energy (eV per atom) = -0.36
- theoretical density (Mg/m³) = 11.25

---

Entry 13:
This record from Alexandria via LeMat-Bulk describes crystalline Dy4CdAu2 at its relaxed geometry. The functional is PBE-GGA.

a = 5.0917 Å, b = 5.0917 Å, c = 24.5985 Å
α = 90.00°, β = 90.00°, γ = 120.00°
Space group R-3m (No. 166, hexagonal axes)
Inequivalent atoms, fractional coordinates:
Dy 0.0000 0.0000 0.1183 [6 per cell]
Dy 0.0000 0.0000 0.3704 [6 per cell]
Cd 0.0000 0.0000 0.5000 [3 per cell]
Au 0.0000 0.0000 0.2488 [6 per cell]

Calculated values
- crystal system = trigonal
- formation energy (eV per atom) = -0.51
- theoretical density (Mg/m³) = 10.43

---

Entry 14:
This record from Alexandria via LeMat-Bulk describes crystalline DyCdAu4 at its relaxed geometry. The functional is PBE-GGA.

a = 6.5899 Å, b = 6.5903 Å, c = 6.7128 Å
α = 90.00°, β = 90.07°, γ = 90.00°
Space group C2/m (No. 12)
Inequivalent atoms, fractional coordinates:
Dy 0.0000 0.0000 0.0000 [2 per cell]
Cd 0.0000 0.5000 0.5000 [2 per cell]
Au 0.2501 0.2503 0.2647 [8 per cell]

Calculated values
- crystal system = monoclinic
- formation energy (eV per atom) = -0.26
- theoretical density (Mg/m³) = 12.11

---

Entry 15:
This record from Alexandria via LeMat-Bulk describes crystalline DyCd4Au2 at its relaxed geometry. The functional is PBE-GGA.

a = 4.5892 Å, b = 18.6133 Å, c = 3.6285 Å
α = 90.00°, β = 90.00°, γ = 90.00°
Space group Cmmm (No. 65)
Inequivalent atoms, fractional coordinates:
Dy 0.0000 0.0000 0.0000 [2 per cell]
Cd 0.0000 0.1617 0.5000 [4 per cell]
Cd 0.0000 0.3031 0.0000 [4 per cell]
Au 0.0000 0.4275 0.5000 [4 per cell]

Calculated values
- crystal system = orthorhombic
- formation energy (eV per atom) = -0.33
- theoretical density (Mg/m³) = 10.78

---

Entry 16:
This record from Alexandria via LeMat-Bulk describes crystalline Dy4CdAu2 at its relaxed geometry. The functional is PBE-GGA.

a = 4.9013 Å, b = 4.9013 Å, c = 28.4928 Å
α = 90.00°, β = 90.00°, γ = 120.00°
Space group R-3m (No. 166, hexagonal axes)
Inequivalent atoms, fractional coordinates:
Dy 0.0000 0.0000 0.1152 [6 per cell]
Dy 0.0000 0.0000 0.2968 [6 per cell]
Cd 0.0000 0.0000 0.5000 [3 per cell]
Au 0.0000 0.0000 0.3998 [6 per cell]

Calculated values
- crystal system = trigonal
- formation energy (eV per atom) = -0.40
- theoretical density (Mg/m³) = 9.72

---

Entry 17:
This record from Alexandria via LeMat-Bulk describes crystalline DyCdAu4 at its relaxed geometry. The functional is PBE-GGA.

a = 9.5121 Å, b = 3.9234 Å, c = 6.9630 Å
α = 90.00°, β = 110.09°, γ = 90.00°
Space group C2/m (No. 12)
Inequivalent atoms, fractional coordinates:
Dy 0.0000 0.0000 0.0000 [2 per cell]
Cd 0.0000 0.0000 0.5000 [2 per cell]
Au 0.1646 0.5000 0.8281 [4 per cell]
Au 0.1661 0.5000 0.3345 [4 per cell]

Calculated values
- crystal system = monoclinic
- formation energy (eV per atom) = -0.49
- theoretical density (Mg/m³) = 14.46

---

Entry 18:
This record from Alexandria via LeMat-Bulk describes crystalline Dy2Cd3Au2 at its relaxed geometry. The functional is PBE-GGA.

a = 10.4494 Å, b = 4.1683 Å, c = 7.5454 Å
α = 90.00°, β = 94.44°, γ = 90.00°
Space group C2/m (No. 12)
Inequivalent atoms, fractional coordinates:
Dy 0.1200 0.0000 0.3422 [4 per cell]
Cd 0.0000 0.5000 0.0000 [2 per cell]
Cd 0.1918 0.0000 0.8758 [4 per cell]
Au 0.1000 0.5000 0.6354 [4 per cell]

Calculated values
- crystal system = monoclinic
- formation energy (eV per atom) = -0.50
- theoretical density (Mg/m³) = 10.70

---

Entry 19:
This record from Alexandria via LeMat-Bulk describes crystalline Dy4Cd2Au at its relaxed geometry. The functional is PBE-GGA.

a = 5.1749 Å, b = 5.1749 Å, c = 25.1867 Å
α = 90.00°, β = 90.00°, γ = 120.00°
Space group R-3m (No. 166, hexagonal axes)
Inequivalent atoms, fractional coordinates:
Dy 0.0000 0.0000 0.1242 [6 per cell]
Dy 0.0000 0.0000 0.3753 [6 per cell]
Cd 0.0000 0.0000 0.2474 [6 per cell]
Au 0.0000 0.0000 0.0000 [3 per cell]

Calculated values
- crystal system = trigonal
- formation energy (eV per atom) = -0.28
- theoretical density (Mg/m³) = 9.14

---

Entry 20:
This record from Alexandria via LeMat-Bulk describes crystalline DyCd2Au at its relaxed geometry. The functional is PBE-GGA.

a = 4.3100 Å, b = 4.3100 Å, c = 4.9295 Å
α = 90.00°, β = 90.00°, γ = 90.00°
Space group P4/mmm (No. 123)
Inequivalent atoms, fractional coordinates:
Dy 0.0000 0.0000 0.0000 [1 per cell]
Cd 0.0000 0.5000 0.5000 [2 per cell]
Au 0.5000 0.5000 0.0000 [1 per cell]

Calculated values
- crystal system = tetragonal
- formation energy (eV per atom) = -0.39
- theoretical density (Mg/m³) = 10.60

---

Entry 21:
This record from Alexandria via LeMat-Bulk describes crystalline Dy5CdAu4 at its relaxed geometry. The functional is PBE-GGA.

a = 3.6145 Å, b = 3.6145 Å, c = 18.2404 Å
α = 90.00°, β = 90.00°, γ = 90.00°
Space group P4/mmm (No. 123)
Inequivalent atoms, fractional coordinates:
Dy 0.0000 0.0000 0.0000 [1 per cell]
Dy 0.0000 0.0000 0.1970 [2 per cell]
Dy 0.0000 0.0000 0.3921 [2 per cell]
Cd 0.5000 0.5000 0.5000 [1 per cell]
Au 0.5000 0.5000 0.0985 [2 per cell]
Au 0.5000 0.5000 0.2980 [2 per cell]

Calculated values
- crystal system = tetragonal
- formation energy (eV per atom) = -0.75
- theoretical density (Mg/m³) = 11.93

---

Entry 22:
This record from Alexandria via LeMat-Bulk describes crystalline DyCd2Au2 at its relaxed geometry. The functional is PBE-GGA.

a = 4.8656 Å, b = 4.8302 Å, c = 10.0379 Å
α = 90.00°, β = 92.90°, γ = 90.00°
Space group P2_1/m (No. 11)
Inequivalent atoms, fractional coordinates:
Dy 0.2320 0.2500 0.3243 [2 per cell]
Cd 0.2589 0.2500 0.6790 [2 per cell]
Cd 0.2775 0.2500 0.9917 [2 per cell]
Au 0.2324 0.7500 0.1560 [2 per cell]
Au 0.2524 0.7500 0.5110 [2 per cell]

Calculated values
- crystal system = monoclinic
- formation energy (eV per atom) = -0.46
- theoretical density (Mg/m³) = 11.01

---

Entry 23:
This record from Alexandria via LeMat-Bulk describes crystalline Dy11Cd9Au4 at its relaxed geometry. The functional is PBE-GGA.

a = 14.7791 Å, b = 22.1117 Å, c = 3.6873 Å
α = 90.00°, β = 90.00°, γ = 90.00°
Space group Cmmm (No. 65)
Inequivalent atoms, fractional coordinates:
Dy 0.0000 0.0000 0.0000 [2 per cell]
Dy 0.0000 0.1627 0.0000 [4 per cell]
Dy 0.0000 0.3648 0.0000 [4 per cell]
Dy 0.2039 0.5000 0.0000 [4 per cell]
Dy 0.2426 0.1716 0.0000 [8 per cell]
Cd 0.0000 0.5000 0.5000 [2 per cell]
Cd 0.1056 0.2592 0.5000 [8 per cell]
Cd 0.1384 0.0732 0.5000 [8 per cell]
Au 0.1492 0.4007 0.5000 [8 per cell]

Calculated values
- crystal system = orthorhombic
- formation energy (eV per atom) = -0.52
- theoretical density (Mg/m³) = 9.89